Compound: Zr4AsPN2
Source: OQMD via LeMat-Bulk
Functional: PBE
Structure: optimized geometry

Cell: 3.429 3.429 12.255 Å, 90.00 90.00 120.00°
Positions (direct):
N (0.333, 0.667, 0.254)
N (0.333, 0.667, 0.746)
Zr (0.000, 0.000, 0.355)
Zr (0.000, 0.000, 0.645)
Zr (0.667, 0.333, 0.845)
Zr (0.667, 0.333, 0.155)
As (0.000, 0.000, 0.000)
P (0.667, 0.333, 0.500)

Properties
Its energy is -72.19 eV/f.u. The calculation puts the volume at 125 Å³/cell.


Compound: Pa2AsN2
Source: OQMD via LeMat-Bulk
Functional: PBE
Structure: optimized geometry

Cell: 3.822 3.822 6.551 Å, 106.93 106.93 90.00°
Site moments in Bohr magnetons follow the coordinates.
Positions (direct):
N (0.750, 0.250, 0.500)  -0.02
N (0.250, 0.750, 0.500)  -0.02
As (0.000, 0.000, 0.000)  -0.03
Pa (0.352, 0.352, 0.705)  0.39
Pa (0.648, 0.648, 0.295)  0.39

Properties
Its energy is -48.18 eV/f.u. The calculation puts the volume at 87 Å³/cell.


Compound: Pr3AsN2
Source: OQMD via LeMat-Bulk
Functional: PBE
Structure: optimized geometry

Cell: 3.817 3.817 9.806 Å, 90.00 90.00 120.00°
Positions (direct):
Pr (0.667, 0.333, 0.704)
Pr (0.333, 0.667, 0.296)
Pr (0.000, 0.000, 0.000)
N (0.667, 0.333, 0.152)
N (0.333, 0.667, 0.848)
As (0.000, 0.000, 0.500)

Properties
Its energy is -43.03 eV/f.u. The calculation puts the volume at 124 Å³/cell.